# 1
The following is a DFT calculation (PBE) of crystalline KAlCu2F8 at its relaxed geometry.

Computed properties:
**DOS at the Fermi energy**: 7.72 states/eV/f.u.
**Spin magnetization**: 0.167 μB per atom
**Space-group type**: P-3
**Final energy**: -4.634 eV per atom

Unit cell a=5.256 b=5.256 c=7.401 alpha=90.00 beta=90.00 gamma=120.00
Last column: magnetic moment on the atom in μB.
Positions (direct):
F 0.273 0.292 0.358  0.03
F 0.292 0.019 0.642  0.03
F 0.667 0.333 0.068  0.19
F 0.708 0.981 0.358  0.03
F 0.981 0.273 0.642  0.03
F 0.019 0.727 0.358  0.03
F 0.333 0.667 0.932  0.19
F 0.727 0.708 0.642  0.03
Al 0.000 0.000 0.500  0.00
Cu 0.667 0.333 0.313  0.69
Cu 0.333 0.667 0.687  0.69
K 0.000 0.000 0.000  0.00

=====

# 2
The following is a DFT calculation (PBE) of crystalline KAlCuF6 at its relaxed geometry.

Computed properties:
**DOS at the Fermi energy**: 6.54 states/eV/f.u.
**Spin magnetization**: 0.111 μB per atom
**Space-group type**: P312
**Final energy**: -4.980 eV per atom

Unit cell a=5.225 b=5.225 c=5.693 alpha=90.01 beta=89.99 gamma=59.98
Last column: magnetic moment on the atom in μB.
Positions (direct):
F 0.031 0.362 0.316  0.04
F 0.607 0.362 0.684  0.04
F 0.362 0.607 0.316  0.04
F 0.607 0.031 0.316  0.04
F 0.362 0.031 0.684  0.04
F 0.031 0.607 0.684  0.04
K 0.000 0.000 0.000  0.00
Al 0.333 0.333 0.500  0.00
Cu 0.667 0.667 0.500  0.74